NaGaSe (PBE-GGA, relaxed); volume = 76 Å³/cell; relative energy among the computed polymorphs = 0.00 eV per formula unit; E_tot = -9.65 eV per cell; space-group type = P3m1, No. 156; mass density = 3.74 Mg/m³
1.0
3.904 0.000 0.000
-1.952 3.381 0.000
0.000 0.000 5.775
Na Ga Se
1 1 1
direct
0.000 0.000 0.000
0.667 0.333 0.580
0.333 0.667 0.336